1.
DFT (GGA-PBEsol) results for Y2InNi2 after structural relaxation.

Cell and atoms, written as POSCAR:
```
Y2InNi2
1.0
7.283 0.000 0.000
0.000 7.283 0.000
0.000 0.000 3.615
Y In Ni
4 2 4
Direct
0.176 0.324 0.000
0.324 0.824 0.000
0.676 0.176 0.000
0.824 0.676 0.000
0.000 0.000 0.500
0.500 0.500 0.500
0.118 0.618 0.500
0.382 0.118 0.500
0.618 0.882 0.500
0.882 0.382 0.500
```

M_tot = 0.0 μB/f.u.
crystal system = tetragonal
E_form = -0.526 eV per atom
E = -63.14 eV/cell



2.
DFT (GGA-PBEsol) results for TeIr2Rh after structural relaxation.

Cell and atoms, written as POSCAR:
```
TeIr2Rh
1.0
2.892 0.000 0.000
0.000 4.562 0.000
0.000 0.000 9.565
Te Ir Rh
2 4 2
Direct
0.000 0.000 0.000
0.500 0.500 0.500
0.000 0.500 0.265
0.000 0.500 0.735
0.500 0.000 0.235
0.500 0.000 0.765
0.000 0.000 0.500
0.500 0.500 0.000
```

M_tot = 0.0 μB/f.u.
crystal system = orthorhombic
formation energy from raw total energies = 0.375 eV per atom
E = -59.62 eV/cell



3.
DFT (GGA-PBEsol) results for ScMoRu after structural relaxation.

Cell and atoms, written as POSCAR:
```
ScMoRu
1.0
3.087 0.000 0.000
0.000 3.087 0.000
0.000 0.000 10.009
Sc Mo Ru
2 2 2
Direct
0.000 0.000 0.000
0.500 0.500 0.500
0.000 0.000 0.683
0.500 0.500 0.183
0.000 0.000 0.329
0.500 0.500 0.829
```

M_tot = 0.0 μB/f.u.
crystal system = tetragonal
E_form = -0.159 eV per atom
E = -58.05 eV/cell



4.
DFT (GGA-PBEsol) results for TaSiTe2 after structural relaxation.

Cell and atoms, written as POSCAR:
```
TaSiTe2
1.0
6.874 0.000 0.000
0.000 6.874 0.000
0.000 0.000 6.874
Ta Si Te
4 4 8
Direct
0.000 0.000 0.000
0.000 0.500 0.500
0.500 0.000 0.500
0.500 0.500 0.000
0.250 0.250 0.250
0.250 0.750 0.750
0.750 0.250 0.750
0.750 0.750 0.250
0.000 0.000 0.500
0.000 0.500 0.000
0.250 0.250 0.750
0.250 0.750 0.250
0.500 0.000 0.000
0.500 0.500 0.500
0.750 0.250 0.250
0.750 0.750 0.750
```

M_tot = 0.0 μB/f.u.
crystal system = cubic
formation energy from raw total energies = 0.610 eV per atom
E = -91.64 eV/cell



5.
DFT (GGA-PBEsol) results for Al2SbH after structural relaxation.

Cell and atoms, written as POSCAR:
```
Al2SbH
1.0
6.551 0.000 0.000
0.000 6.551 0.000
0.000 0.000 6.551
Al Sb H
8 4 4
Direct
0.250 0.250 0.250
0.250 0.250 0.750
0.250 0.750 0.250
0.250 0.750 0.750
0.750 0.250 0.250
0.750 0.250 0.750
0.750 0.750 0.250
0.750 0.750 0.750
0.000 0.000 0.000
0.000 0.500 0.500
0.500 0.000 0.500
0.500 0.500 0.000
0.000 0.000 0.500
0.000 0.500 0.000
0.500 0.000 0.000
0.500 0.500 0.500
```

M_tot = 0.0 μB/f.u.
crystal system = cubic
E = -56.93 eV/cell



6.
DFT (GGA-PBEsol) results for CdRhW2 after structural relaxation.

Cell and atoms, written as POSCAR:
```
CdRhW2
1.0
6.329 0.000 0.000
0.000 6.329 0.000
0.000 0.000 6.329
Cd Rh W
4 4 8
Direct
0.000 0.000 0.000
0.000 0.500 0.500
0.500 0.000 0.500
0.500 0.500 0.000
0.250 0.250 0.250
0.250 0.750 0.750
0.750 0.250 0.750
0.750 0.750 0.250
0.000 0.000 0.500
0.000 0.500 0.000
0.250 0.250 0.750
0.250 0.750 0.250
0.500 0.000 0.000
0.500 0.500 0.500
0.750 0.250 0.250
0.750 0.750 0.750
```

M_tot = 0.0 μB/f.u.
crystal system = cubic
E_form = 0.445 eV per atom
E = -140.67 eV/cell